Entry 1:
# GaAgSn2Cl meta-GGA SCAN single point on PBEsol structure
data_GaAgSn2Cl
_space_group_name_H-M_alt 'P 1'
_space_group_IT_number 1
_space_group_name_Hall 'P 1'
_cell_length_a 5.249
_cell_length_b 5.249
_cell_length_c 5.068
_cell_angle_alpha 90.00
_cell_angle_beta 90.00
_cell_angle_gamma 90.00
loop_
_atom_site_label
_atom_site_type_symbol
_atom_site_fract_x
_atom_site_fract_y
_atom_site_fract_z
_atom_site_occupancy
Ga1 Ga 0.000 0.000 0.000 1
Ag1 Ag 0.500 0.500 0.000 1
Sn1 Sn 0.000 0.500 0.500 1
Sn2 Sn 0.500 0.000 0.500 1
Cl1 Cl 0.000 0.000 0.500 1
# Density of states at the Fermi level: 3.00 states/eV per cell
# DFT total energy: -124.4 eV/cell
# Calculated density: 5.36 g/cm³
# Spin magnetization: 0.00 μB/atom
# SG: No. 123



Entry 2:
# LiMo3Pd meta-GGA SCAN single point on PBEsol structure
data_LiMo3Pd
_space_group_name_H-M_alt 'P 1'
_space_group_IT_number 1
_space_group_name_Hall 'P 1'
_cell_length_a 4.138
_cell_length_b 4.138
_cell_length_c 4.138
_cell_angle_alpha 90.00
_cell_angle_beta 90.00
_cell_angle_gamma 90.00
loop_
_atom_site_label
_atom_site_type_symbol
_atom_site_fract_x
_atom_site_fract_y
_atom_site_fract_z
_atom_site_occupancy
Li1 Li 0.000 0.000 0.000 1
Mo1 Mo 0.000 0.000 0.500 1
Mo2 Mo 0.000 0.500 0.000 1
Mo3 Mo 0.500 0.000 0.000 1
Pd1 Pd 0.500 0.500 0.500 1
# Density of states at the Fermi level: 3.19 states/eV per cell
# DFT total energy: -133.7 eV/cell
# Calculated density: 9.40 g/cm³
# Spin magnetization: 0.00 μB/atom
# SG: No. 221



Entry 3:
# La2InAs meta-GGA SCAN single point on PBEsol structure
data_La2InAs
_space_group_name_H-M_alt 'P 1'
_space_group_IT_number 1
_space_group_name_Hall 'P 1'
_cell_length_a 3.654
_cell_length_b 3.654
_cell_length_c 8.596
_cell_angle_alpha 90.00
_cell_angle_beta 90.00
_cell_angle_gamma 94.61
loop_
_atom_site_label
_atom_site_type_symbol
_atom_site_fract_x
_atom_site_fract_y
_atom_site_fract_z
_atom_site_occupancy
La1 La 0.000 0.000 0.000 1
La2 La 0.500 0.500 0.369 1
In1 In 0.000 0.000 0.619 1
As1 As 0.500 0.500 0.790 1
# ΔE to the lowest computed polymorph: 509 meV/atom
# Density of states at the Fermi level: 4.05 states/eV per cell
# DFT total energy: -141.5 eV/cell
# Calculated density: 6.78 g/cm³
# Spin magnetization: 0.00 μB/atom
# SG: No. 35



Entry 4:
# LiHf2Ga meta-GGA SCAN single point on PBEsol structure
data_LiHf2Ga
_space_group_name_H-M_alt 'P 1'
_space_group_IT_number 1
_space_group_name_Hall 'P 1'
_cell_length_a 5.887
_cell_length_b 5.887
_cell_length_c 5.887
_cell_angle_alpha 102.00
_cell_angle_beta 102.00
_cell_angle_gamma 125.74
loop_
_atom_site_label
_atom_site_type_symbol
_atom_site_fract_x
_atom_site_fract_y
_atom_site_fract_z
_atom_site_occupancy
Li1 Li 0.000 0.000 0.000 1
Li2 Li 0.750 0.250 0.500 1
Hf1 Hf 0.124 0.625 0.999 1
Hf2 Hf 0.375 0.374 0.499 1
Hf3 Hf 0.626 0.125 0.001 1
Hf4 Hf 0.875 0.876 0.501 1
Ga1 Ga 0.250 0.750 0.500 1
Ga2 Ga 0.500 0.500 0.000 1
# Density of states at the Fermi level: 5.60 states/eV per cell
# DFT total energy: -286.4 eV/cell
# Calculated density: 9.77 g/cm³
# Spin magnetization: 0.00 μB/atom
# SG: No. 122



Entry 5:
# MgMoBr meta-GGA SCAN single point on PBEsol structure
data_MgMoBr
_space_group_name_H-M_alt 'P 1'
_space_group_IT_number 1
_space_group_name_Hall 'P 1'
_cell_length_a 6.347
_cell_length_b 6.347
_cell_length_c 6.347
_cell_angle_alpha 151.58
_cell_angle_beta 151.58
_cell_angle_gamma 40.63
loop_
_atom_site_label
_atom_site_type_symbol
_atom_site_fract_x
_atom_site_fract_y
_atom_site_fract_z
_atom_site_occupancy
Mg1 Mg 0.000 0.000 0.000 1
Mo1 Mo 0.659 0.659 0.000 1
Br1 Br 0.275 0.275 0.000 1
# Density of states at the Fermi level: 1.16 states/eV per cell
# DFT total energy: -58.1 eV/cell
# Calculated density: 5.75 g/cm³
# Spin magnetization: 0.26 μB/atom
# SG: No. 107



Entry 6:
# Ca3BCl meta-GGA SCAN single point on PBEsol structure
data_Ca3BCl
_space_group_name_H-M_alt 'P 1'
_space_group_IT_number 1
_space_group_name_Hall 'P 1'
_cell_length_a 5.234
_cell_length_b 5.234
_cell_length_c 5.234
_cell_angle_alpha 90.00
_cell_angle_beta 90.00
_cell_angle_gamma 90.00
loop_
_atom_site_label
_atom_site_type_symbol
_atom_site_fract_x
_atom_site_fract_y
_atom_site_fract_z
_atom_site_occupancy
Ca1 Ca 0.000 0.000 0.500 1
Ca2 Ca 0.000 0.500 0.000 1
Ca3 Ca 0.500 0.000 0.000 1
B1 B 0.000 0.000 0.000 1
Cl1 Cl 0.500 0.500 0.500 1
# Density of states at the Fermi level: 0.93 states/eV per cell
# DFT total energy: -46.2 eV/cell
# Calculated density: 1.93 g/cm³
# Spin magnetization: 0.00 μB/atom
# SG: No. 221